Record 1
Here is Sb2AsS after structural relaxation from the Alexandria database. Energies are from PBE.

Output
The value obtained for the energy above the most stable polymorph in this dataset is 32 meV per atom. For the total energy, the calculation gives -4.183 eV/atom. The calculation puts the density of states at the Fermi level at 1.60 states/eV per cell. The space-group type is R3m (160). The calculation puts the formation energy from raw total energies at 0.07 eV/atom.

a b c (Å): 3.8658 3.8658 8.2291
angles (deg): 76.41 76.41 60.00
With the nearest neighbours (Å) after each atom.
Fractional positions:
Sb (0.0861, 0.0861, 0.7416)  3 S 2.73, 3 As 3.05
Sb (0.2624, 0.2624, 0.2127)  3 As 2.78
As (0.6656, 0.6656, 0.0032)  6 Sb 2.78-3.05
S (0.4858, 0.4858, 0.5425)  3 Sb 2.73

---

Record 2
Here is CsZnSnTe3 after structural relaxation from the Alexandria database. Energies are from PBE.

Output
For the total energy, the calculation gives -3.119 eV/atom. The calculation puts the density of states at the Fermi level at 4.24 states/eV per cell. The space-group type is P2_1/m (11). The calculation puts the formation energy from raw total energies at -0.53 eV/atom.

a b c (Å): 4.3231 10.6489 10.9277
angles (deg): 110.71 90.00 90.00
With the nearest neighbours (Å) after each atom.
Fractional positions:
Cs (0.2500, 0.2042, 0.2482)  7 Te 3.89-3.98, 2 Cs 4.32
Cs (0.7500, 0.7958, 0.7518)  7 Te 3.89-3.98, 2 Cs 4.32
Zn (0.2500, 0.0781, 0.6080)  4 Te 2.68-2.76
Zn (0.7500, 0.9219, 0.3920)  4 Te 2.68-2.76
Sn (0.2500, 0.6602, 0.1234)  5 Te 2.97-3.07
Sn (0.7500, 0.3398, 0.8766)  5 Te 2.97-3.07
Te (0.7500, 0.8686, 0.1329)  1 Zn 2.68
Te (0.2500, 0.1314, 0.8671)  1 Zn 2.68
Te (0.2500, 0.8079, 0.4598)  3 Zn 2.71-2.76
Te (0.7500, 0.1921, 0.5402)  3 Zn 2.71-2.76
Te (0.7500, 0.4747, 0.1655)  3 Sn 2.97-3.07
Te (0.2500, 0.5253, 0.8345)  3 Sn 2.97-3.07

---

Record 3
Here is Ho3As2O after structural relaxation from the Alexandria database. Energies are from PBE.

Output
For the total energy, the calculation gives -6.499 eV/atom. The calculation puts the density of states at the Fermi level at 3.77 states/eV per cell. The space-group type is C2/c (15). The calculation puts the formation energy from raw total energies at -1.83 eV/atom.

a b c (Å): 5.7201 7.7264 6.7209
angles (deg): 106.06 115.19 90.00
With the nearest neighbours (Å) after each atom.
Fractional positions:
Ho (0.4420, 0.2500, 0.0000)  1 O 2.23
Ho (0.5580, 0.7500, 0.0000)  1 O 2.23
Ho (0.1456, 0.0820, 0.2996)  2 O 2.56-2.67, 3 As 2.81-2.86
Ho (0.8460, 0.4180, 0.7004)  2 O 2.56-2.67, 3 As 2.81-2.86
Ho (0.1540, 0.5820, 0.2996)  2 O 2.56-2.67, 3 As 2.81-2.86
Ho (0.8544, 0.9180, 0.7004)  2 O 2.56-2.67, 3 As 2.81-2.86
As (0.6752, 0.5840, 0.3455)  6 Ho 2.79-2.88
As (0.6702, 0.0840, 0.3455)  6 Ho 2.79-2.88
As (0.3298, 0.9160, 0.6545)  6 Ho 2.79-2.88
As (0.3248, 0.4160, 0.6545)  6 Ho 2.79-2.88
O (0.9482, 0.7500, 0.0000)  1 Ho 2.23
O (0.0518, 0.2500, 0.0000)  1 Ho 2.23

---

Record 4
Here is LaTaO3 after structural relaxation from the Alexandria database. Energies are from PBE.

Output
For the total energy, the calculation gives -9.045 eV/atom. The calculation puts the density of states at the Fermi level at 2.62 states/eV per cell. The space-group type is Pm-3m (221). The calculation puts the formation energy from raw total energies at -2.71 eV/atom.

a b c (Å): 4.0412 4.0412 4.0412
angles (deg): 90.00 90.00 90.00
With the nearest neighbours (Å) after each atom.
Fractional positions:
La (0.5000, 0.5000, 0.5000)  12 O 2.86
O (0.0000, 0.5000, 0.0000)  2 Ta 2.02
O (0.0000, 0.0000, 0.5000)  2 Ta 2.02
O (0.5000, 0.0000, 0.0000)  2 Ta 2.02
Ta (0.0000, 0.0000, 0.0000)  6 O 2.02

---

Record 5
Here is BPSe2 after structural relaxation from the Alexandria database. Energies are from PBE.

Output
The value obtained for the energy above the most stable polymorph in this dataset is 154 meV per atom. For the total energy, the calculation gives -4.073 eV/atom. The calculation puts the density of states at the Fermi level at 1.40 states/eV per cell. The space-group type is R-3m (166). The calculation puts the formation energy from raw total energies at 0.69 eV/atom.

a b c (Å): 7.8965 7.8965 7.8965
angles (deg): 23.79 23.79 23.79
With the nearest neighbours (Å) after each atom.
Fractional positions:
P (0.0000, 0.0000, 0.0000)  2 Se 2.54
B (0.5000, 0.5000, 0.5000)  6 Se 2.28
Se (0.8894, 0.8894, 0.8894)  3 B 2.28, 1 P 2.54
Se (0.1106, 0.1106, 0.1106)  3 B 2.28, 1 P 2.54

---

Record 6
Here is Pr3PtRh8 after structural relaxation from the Alexandria database. Energies are from PBE.

Output
For the total energy, the calculation gives -7.038 eV/atom. The energy relative to the elements is -439 meV per atom. The calculation puts the density of states at the Fermi level at 14.76 states/eV per cell. The space-group type is R3m (160).

a b c (Å): 5.3791 5.3791 9.3178
angles (deg): 73.22 73.22 60.00
With the nearest neighbours (Å) after each atom.
Fractional positions:
Pr (0.6234, 0.6234, 0.1297)  12 Rh 3.15-3.18, 4 Pr 3.42-3.45
Pr (0.0109, 0.0109, 0.9674)  9 Rh 3.01-3.23, 1 Pt 3.34
Pr (0.4924, 0.4924, 0.5227)  12 Rh 2.99-3.22, 3 Pt 3.16
Pt (0.1376, 0.1376, 0.5872)  6 Rh 2.81-3.11
Rh (0.5621, 0.0624, 0.8134)  6 Rh 2.64-2.72
Rh (0.0589, 0.5605, 0.3216)  6 Rh 2.68-2.72, 1 Pt 2.81
Rh (0.5621, 0.5621, 0.8134)  6 Rh 2.64-2.72
Rh (0.0589, 0.0589, 0.3216)  6 Rh 2.68-2.72, 1 Pt 2.81
Rh (0.8100, 0.8100, 0.5701)  6 Rh 2.64-2.68
Rh (0.3107, 0.3107, 0.0678)  6 Rh 2.72
Rh (0.0624, 0.5621, 0.8134)  6 Rh 2.64-2.72
Rh (0.5605, 0.0589, 0.3216)  6 Rh 2.68-2.72, 1 Pt 2.81

---

Record 7
Here is CsReSn2 after structural relaxation from the Alexandria database. Energies are from PBE.

Output
The value obtained for the energy above the most stable polymorph in this dataset is 735 meV per atom. For the total energy, the calculation gives -4.149 eV/atom. The energy relative to the elements is 1178 meV per atom. The calculation puts the density of states at the Fermi level at 1.65 states/eV per cell. The space-group type is Fm-3m (225).

a b c (Å): 5.2936 5.2936 5.2936
angles (deg): 60.00 60.00 60.00
With the nearest neighbours (Å) after each atom.
Fractional positions:
Cs (0.0000, 0.0000, 0.0000)  8 Sn 3.24
Re (0.5000, 0.5000, 0.5000)  8 Sn 3.24
Sn (0.2500, 0.2500, 0.2500)  4 Re 3.24, 4 Cs 3.24
Sn (0.7500, 0.7500, 0.7500)  4 Re 3.24, 4 Cs 3.24

---

Record 8
Here is NiPd2Pt after structural relaxation from the Alexandria database. Energies are from PBE.

Output
For the total energy, the calculation gives -5.523 eV/atom. The energy relative to the elements is 29 meV per atom. The calculation puts the density of states at the Fermi level at 6.69 states/eV per cell. The space-group type is R3m (160).

a b c (Å): 2.7501 2.7501 9.0465
angles (deg): 81.26 81.26 60.00
With the nearest neighbours (Å) after each atom.
Fractional positions:
Ni (0.6670, 0.6670, 0.9989)  6 Pd 2.60-2.61, 6 Ni 2.75
Pd (0.0774, 0.0774, 0.7679)  3 Ni 2.60, 6 Pd 2.75, 3 Pt 2.86
Pd (0.2560, 0.2560, 0.2321)  3 Ni 2.61, 6 Pd 2.75, 3 Pt 2.87
Pt (0.4996, 0.4996, 0.5011)  6 Pt 2.75, 6 Pd 2.86-2.87